[1]
This record from Alexandria describes crystalline SmWO5 at its relaxed geometry. The functional is GGA+U.

Properties
E above lowest polymorph ... 0.000 eV per formula unit

Structure (CIF):
```
data_SmWO5
_symmetry_space_group_name_H-M 'C 1 2/c 1'
_symmetry_Int_Tables_number 15
_symmetry_space_group_name_Hall '-C 2yc'
_cell_length_a 9.213
_cell_length_b 6.594
_cell_length_c 7.731
_cell_angle_alpha 90.00
_cell_angle_beta 114.58
_cell_angle_gamma 90.00
loop_
_atom_site_label
_atom_site_type_symbol
_atom_site_fract_x
_atom_site_fract_y
_atom_site_fract_z
Sm1 Sm 0.000 0.052 0.250
W1 W 0.000 0.500 0.000
O1 O 0.000 0.429 0.250
O2 O 0.008 0.211 0.964
O3 O 0.227 0.486 0.614
```

***

[2]
This record from Alexandria describes crystalline SmW2O8 at its relaxed geometry. The functional is GGA+U.

Properties
Total energy ... -7.139 eV per atom

Structure (CIF):
```
data_SmW2O8
_symmetry_space_group_name_H-M 'I 4/m m m'
_symmetry_Int_Tables_number 139
_symmetry_space_group_name_Hall '-I 4 2'
_cell_length_a 4.860
_cell_length_b 4.860
_cell_length_c 11.359
_cell_angle_alpha 90.00
_cell_angle_beta 90.00
_cell_angle_gamma 90.00
loop_
_atom_site_label
_atom_site_type_symbol
_atom_site_fract_x
_atom_site_fract_y
_atom_site_fract_z
Sm1 Sm 0.000 0.000 0.000
W1 W 0.000 0.500 0.250
O1 O 0.249 0.249 0.147
```

***

[3]
This record from Alexandria describes crystalline Sm2WO6 at its relaxed geometry. The functional is GGA+U.

Properties
E above lowest polymorph ... 0.094 eV per formula unit

Structure (CIF):
```
data_Sm2WO6
_symmetry_space_group_name_H-M 'P 1 2/c 1'
_symmetry_Int_Tables_number 13
_symmetry_space_group_name_Hall '-P 2yc'
_cell_length_a 7.848
_cell_length_b 5.509
_cell_length_c 11.693
_cell_angle_alpha 90.00
_cell_angle_beta 104.00
_cell_angle_gamma 90.00
loop_
_atom_site_label
_atom_site_type_symbol
_atom_site_fract_x
_atom_site_fract_y
_atom_site_fract_z
Sm1 Sm 0.000 0.183 0.250
Sm2 Sm 0.294 0.312 0.924
Sm3 Sm 0.500 0.239 0.250
W1 W 0.224 0.246 0.615
O1 O 0.005 0.140 0.887
O2 O 0.138 0.346 0.455
O3 O 0.209 0.486 0.226
O4 O 0.286 0.044 0.769
O5 O 0.349 0.023 0.070
O6 O 0.437 0.455 0.605
```

***

Ρ per entry: 6.4; 8.0; 7.9 g/cm3
DOS(E_F) per entry: 2.22; 3.09; 0.00 states/eV/f.u.